The following is a GGA-PBE calculation of a relaxed structure of ScCuSb2, from the Alexandria database.

Unit cell a=8.926 b=8.926 c=8.926 alpha=21.96 beta=21.96 gamma=21.96
Fractional positions:
Sc 0.000 0.000 0.000
Cu 0.500 0.500 0.500
Sb 0.242 0.242 0.242
Sb 0.758 0.758 0.758

Values from the calculation:
E_tot in eV per atom: -4.805
Space group: No. 166



The following is a GGA-PBE calculation of a relaxed structure of Dy2Al3Mo, from the Alexandria database.

Unit cell a=5.504 b=5.504 c=5.504 alpha=61.00 beta=61.00 gamma=61.00
Fractional positions:
Dy 0.128 0.128 0.128
Dy 0.872 0.872 0.872
Al 0.000 0.500 0.500
Al 0.500 0.000 0.500
Al 0.500 0.500 0.000
Mo 0.500 0.500 0.500

Values from the calculation:
Formation enthalpy at 0 K in eV/atom: -0.393
Space group: No. 166



The following is a GGA-PBE calculation of a relaxed structure of Dy5Si5Ge2, from the Alexandria database.

Unit cell a=7.496 b=7.496 c=11.192 alpha=127.68 beta=127.68 gamma=31.42
Fractional positions:
Dy 0.000 0.000 0.000
Dy 0.111 0.111 0.429
Dy 0.206 0.206 0.840
Dy 0.794 0.794 0.160
Dy 0.889 0.889 0.571
Si 0.266 0.266 0.321
Si 0.437 0.437 0.158
Si 0.500 0.500 0.500
Si 0.563 0.563 0.842
Si 0.734 0.734 0.679
Ge 0.357 0.357 0.742
Ge 0.643 0.643 0.258

Values from the calculation:
E_tot in eV per atom: -5.560
Space group: No. 12



The following is a GGA-PBE calculation of a relaxed structure of Pm3TiSi5, from the Alexandria database.

Unit cell a=8.692 b=8.692 c=5.751 alpha=90.00 beta=90.00 gamma=120.00
Fractional positions:
Pm 0.000 0.384 0.250
Pm 0.000 0.616 0.750
Pm 0.384 0.000 0.250
Pm 0.384 0.384 0.750
Pm 0.616 0.000 0.750
Pm 0.616 0.616 0.250
Ti 0.000 0.000 0.000
Ti 0.000 0.000 0.500
Si 0.000 0.251 0.750
Si 0.000 0.749 0.250
Si 0.251 0.000 0.750
Si 0.251 0.251 0.250
Si 0.333 0.667 0.000
Si 0.333 0.667 0.500
Si 0.667 0.333 0.000
Si 0.667 0.333 0.500
Si 0.749 0.000 0.250
Si 0.749 0.749 0.750

Values from the calculation:
E_tot in eV per atom: -5.942
Space group: No. 193